1.
# Tb6Nd2Dy3Er

Crystalline Tb6Nd2Dy3Er at its relaxed geometry (PBE, Alexandria).

```
Tb6Nd2Dy3Er
1.0
-3.4660 1.0636 -5.0081
0.6006 -5.7566 2.1741
-8.3901 3.1502 7.7418
Tb Nd Dy Er
6 2 3 1
direct
0.9156 0.5833 0.7477
0.7521 0.7521 0.2526
0.0844 0.4167 0.2523
0.5833 0.9156 0.7477
0.2479 0.2479 0.7474
0.4167 0.0844 0.2523
0.3335 0.6665 0.0000
0.6665 0.3335 0.0000
0.1664 0.8336 0.5000
0.8336 0.1664 0.5000
0.5000 0.5000 0.5000
0.0000 0.0000 0.0000
```

## Properties
total energy = -4.626 eV per atom
space-group type = C2/m
calculated density = 8.15 g/cm³
total moment = 0.000 μB per atom
calculated formation energy = 15 meV per atom

2.
# Co9NiW2

Crystalline Co9NiW2 at its relaxed geometry (PBE, Alexandria).

```
Co9NiW2
1.0
3.5880 0.0000 0.0000
0.0000 3.5880 0.0000
0.0000 0.0000 10.6763
Co Ni W
9 1 2
direct
0.5000 0.5000 0.0000
0.5000 0.5000 0.3327
0.5000 0.5000 0.6673
0.5000 0.0000 0.1598
0.5000 0.0000 0.5000
0.5000 0.0000 0.8402
0.0000 0.5000 0.1598
0.0000 0.5000 0.5000
0.0000 0.5000 0.8402
0.0000 0.0000 0.0000
0.0000 0.0000 0.3293
0.0000 0.0000 0.6707
```

## Properties
total energy = -7.969 eV per atom
space-group type = P4/mmm
calculated density = 11.56 g/cm³
total moment = 0.691 μB per atom
calculated formation energy = 1 meV per atom

3.
# Co6Ni23W

Crystalline Co6Ni23W at its relaxed geometry (PBE, Alexandria).

```
Co6Ni23W
1.0
-2.6064 4.8399 5.6142
-7.7014 1.3682 0.7435
-3.9258 -2.8863 6.1639
Co Ni W
6 23 1
direct
0.7445 0.7445 0.2555
0.2555 0.2555 0.7445
0.7445 0.2555 0.2555
0.2555 0.7445 0.7445
0.7445 0.2555 0.7445
0.2555 0.7445 0.2555
0.6184 0.1272 0.1272
0.3816 0.8728 0.8728
0.1272 0.1272 0.6184
0.1272 0.1272 0.1272
0.8728 0.8728 0.3816
0.8728 0.8728 0.8728
0.1272 0.6184 0.1272
0.8728 0.3816 0.8728
0.5000 0.5000 0.0000
0.0000 0.0000 0.5000
0.5000 0.0000 0.0000
0.0000 0.5000 0.5000
0.5000 0.0000 0.5000
0.0000 0.5000 0.0000
0.9080 0.3640 0.3640
0.0920 0.6360 0.6360
0.3640 0.3640 0.9080
0.3640 0.3640 0.3640
0.6360 0.6360 0.0920
0.6360 0.6360 0.6360
0.3640 0.9080 0.3640
0.6360 0.0920 0.6360
0.0000 0.0000 0.0000
0.5000 0.5000 0.5000
```

## Properties
total energy = -6.119 eV per atom
space-group type = Fm-3m
calculated density = 9.14 g/cm³
total moment = 0.661 μB per atom
calculated formation energy = 166 meV per atom

4.
# LiTl2Si

Crystalline LiTl2Si at its relaxed geometry (PBE, Alexandria).

```
LiTl2Si
1.0
-3.1332 0.6087 3.9419
-3.9741 -3.0973 0.5826
-0.0337 -3.4021 3.7616
Tl Si Li
2 1 1
direct
0.2500 0.2500 0.2500
0.7500 0.7500 0.7500
0.5000 0.5000 0.5000
0.0000 0.0000 0.0000
```

## Properties
total energy = -2.839 eV per atom
formation energy from raw total energies = 17 kJ/mol of atoms
space-group type = Fm-3m
calculated density = 7.99 g/cm³
total moment = 0.000 μB per atom
distance to the lowest polymorph of the same formula = 14 kJ/mol of formula units

5.
# AcPuTe2

Crystalline AcPuTe2 at its relaxed geometry (PBE, Alexandria).

```
AcPuTe2
1.0
3.9411 0.0000 0.0000
0.0000 3.9411 0.0000
0.0000 0.0000 7.9253
Ac Te Pu
1 2 1
direct
0.5000 0.5000 0.5000
0.0000 0.0000 0.7635
0.0000 0.0000 0.2365
0.5000 0.5000 0.0000
```

## Properties
total energy = -7.338 eV per atom
formation energy from raw total energies = -112 kJ/mol of atoms
space-group type = P4/mmm
calculated density = 9.80 g/cm³
total moment = 1.620 μB per atom
distance to the lowest polymorph of the same formula = 52 kJ/mol of formula units

6.
# SrTa2Pb

Crystalline SrTa2Pb at its relaxed geometry (PBE, Alexandria).

```
SrTa2Pb
1.0
-4.0484 2.1593 1.0715
-1.5345 -1.8488 -2.0721
-1.5960 -5.2401 4.5301
Pb Sr Ta
1 1 2
direct
0.0000 0.3898 0.4653
0.5000 0.7999 0.7488
0.0000 0.0317 0.1002
0.5000 0.2786 0.1858
```

## Properties
total energy = -6.707 eV per atom
space-group type = Pm
calculated density = 10.34 g/cm³
total moment = 0.000 μB per atom
calculated formation energy = 567 meV per atom

7.
# TmSc2Pa

Crystalline TmSc2Pa at its relaxed geometry (PBE, Alexandria).

```
TmSc2Pa
1.0
-1.7950 -1.6290 -4.6836
3.3359 -2.0424 -3.5371
-0.1664 -5.1521 -1.1133
Sc Pa Tm
2 1 1
direct
0.2500 0.2500 0.2500
0.7500 0.7500 0.7500
0.0000 0.0000 0.0000
0.5000 0.5000 0.5000
```

## Properties
total energy = -6.452 eV per atom
space-group type = Fm-3m
calculated density = 7.84 g/cm³
total moment = 0.000 μB per atom
calculated formation energy = 205 meV per atom
distance to the lowest polymorph of the same formula = 54 kJ/mol of formula units

8.
# LaPr4In2

Crystalline LaPr4In2 at its relaxed geometry (PBE, Alexandria).

```
LaPr4In2
1.0
8.6456 0.0000 -0.4888
0.0000 6.7974 0.0000
-3.6969 0.0000 8.0124
La Pr In
2 8 4
direct
0.2395 0.7500 0.3256
0.7605 0.2500 0.6744
0.5692 0.4954 0.2322
0.0951 0.7500 0.8959
0.9049 0.2500 0.1041
0.5692 0.0046 0.2322
0.0410 0.2500 0.5257
0.4308 0.9954 0.7678
0.4308 0.5046 0.7678
0.9590 0.7500 0.4743
0.7971 0.7500 0.0367
0.2029 0.2500 0.9633
0.3353 0.2500 0.3911
0.6647 0.7500 0.6089
```

## Properties
total energy = -4.422 eV per atom
space-group type = P2_1/m
calculated density = 6.75 g/cm³
total moment = 0.000 μB per atom
calculated formation energy = -204 meV per atom
distance to the lowest polymorph of the same formula = 0 kJ/mol of formula units

Look up the total moment of the second one.
0.691 μB per atom